PBE K2TeS3, relaxed; symmetry = No. 14; raw formation energy = -752 meV/atom; raw total energy = -3.705 eV/atom; D(E_F) = 0.0 states/eV/f.u.; relative energy among the computed polymorphs = 0.000 eV per atom
1.0
6.493 0.000 0.000
0.000 9.352 0.000
-6.211 0.000 13.419
K Te S
8 4 12
direct
0.002 0.116 0.245
0.002 0.384 0.745
0.342 0.131 0.584
0.342 0.369 0.084
0.658 0.631 0.916
0.658 0.869 0.416
0.998 0.616 0.255
0.998 0.884 0.755
0.272 0.687 0.582
0.272 0.813 0.082
0.728 0.187 0.918
0.728 0.313 0.418
0.080 0.144 0.911
0.080 0.356 0.411
0.180 0.659 0.942
0.180 0.841 0.442
0.460 0.656 0.219
0.460 0.844 0.719
0.540 0.156 0.281
0.540 0.344 0.781
0.820 0.159 0.558
0.820 0.341 0.058
0.920 0.644 0.589
0.920 0.856 0.089